Below is Ac3Mg2Cd3 after structural relaxation, with properties calculated at the GGA-PBE level.

Cell: 4.099 5.714 11.411 Å, 104.50 100.35 90.00°
Atoms (fractional coordinates):
1 Ac 0.369 0.369 0.738
2 Ac 0.500 0.000 0.000
3 Ac 0.631 0.631 0.262
4 Cd 0.133 0.133 0.266
5 Cd 0.867 0.867 0.734
6 Cd 0.000 0.500 0.000
7 Mg 0.736 0.236 0.471
8 Mg 0.264 0.764 0.529

Properties
Total energy ... -19.667 eV per formula unit
Symmetry ... Immm (71)